Record 1
# meta-GGA SCAN GaFeTeN2, PBEsol geometry
data_GaFeTeN2
_chemical_formula_sum 'Ga1 Fe1 Te1 N2'
_space_group_name_H-M_alt 'P 4/m m m'
_space_group_IT_number 123
_space_group_name_Hall '-P 4 2'
_cell_length_a 3.786
_cell_length_b 3.786
_cell_length_c 5.891
_cell_angle_alpha 90.00
_cell_angle_beta 90.00
_cell_angle_gamma 90.00
loop_
_atom_site_label
_atom_site_type_symbol
_atom_site_fract_x
_atom_site_fract_y
_atom_site_fract_z
Ga1 Ga 0.000 0.000 0.000
Fe1 Fe 0.500 0.500 0.500
Te1 Te 0.000 0.000 0.500
N1 N 0.000 0.500 0.000
# Uncorrected formation energy (meV per atom): 1256
# Crystal system: tetragonal

=====

Record 2
# meta-GGA SCAN CaNi2Se2, PBEsol geometry
data_CaNi2Se2
_chemical_formula_sum 'Ca2 Ni4 Se4'
_space_group_name_H-M_alt 'I 4/m m m'
_space_group_IT_number 139
_space_group_name_Hall '-I 4 2'
_cell_length_a 3.824
_cell_length_b 3.824
_cell_length_c 11.595
_cell_angle_alpha 90.00
_cell_angle_beta 90.00
_cell_angle_gamma 90.00
loop_
_atom_site_label
_atom_site_type_symbol
_atom_site_fract_x
_atom_site_fract_y
_atom_site_fract_z
Ca1 Ca 0.000 0.000 0.000
Ni1 Ni 0.000 0.500 0.250
Se1 Se 0.000 0.000 0.368
# Uncorrected formation energy (meV per atom): -724
# Crystal system: tetragonal

=====

Record 3
# meta-GGA SCAN LaNiSn2, PBEsol geometry
data_LaNiSn2
_chemical_formula_sum 'La4 Ni4 Sn8'
_space_group_name_H-M_alt 'C m c m'
_space_group_IT_number 63
_space_group_name_Hall '-C 2c 2'
_cell_length_a 4.245
_cell_length_b 11.639
_cell_length_c 7.232
_cell_angle_alpha 90.00
_cell_angle_beta 90.00
_cell_angle_gamma 90.00
loop_
_atom_site_label
_atom_site_type_symbol
_atom_site_fract_x
_atom_site_fract_y
_atom_site_fract_z
La1 La 0.000 0.061 0.250
Ni1 Ni 0.000 0.205 0.750
Sn1 Sn 0.000 0.347 0.046
# Formation energy from the elements (meV/atom): -624
# Crystal system: orthorhombic

=====

Record 4
# meta-GGA SCAN In2HgGe, PBEsol geometry
data_In2HgGe
_chemical_formula_sum 'In8 Hg4 Ge4'
_space_group_name_H-M_alt 'F m -3 m'
_space_group_IT_number 225
_space_group_name_Hall '-F 4 2 3'
_cell_length_a 7.171
_cell_length_b 7.171
_cell_length_c 7.171
_cell_angle_alpha 90.00
_cell_angle_beta 90.00
_cell_angle_gamma 90.00
loop_
_atom_site_label
_atom_site_type_symbol
_atom_site_fract_x
_atom_site_fract_y
_atom_site_fract_z
In1 In 0.250 0.250 0.250
Hg1 Hg 0.000 0.000 0.000
Ge1 Ge 0.000 0.000 0.500
# Formation energy from the elements (meV/atom): 162
# Crystal system: cubic

=====

Record 5
# meta-GGA SCAN Cd4As2Cl3, PBEsol geometry
data_Cd4As2Cl3
_chemical_formula_sum 'Cd32 As16 Cl24'
_space_group_name_H-M_alt 'P a -3'
_space_group_IT_number 205
_space_group_name_Hall '-P 2ac 2ab 3'
_cell_length_a 12.399
_cell_length_b 12.399
_cell_length_c 12.399
_cell_angle_alpha 90.00
_cell_angle_beta 90.00
_cell_angle_gamma 90.00
loop_
_atom_site_label
_atom_site_type_symbol
_atom_site_fract_x
_atom_site_fract_y
_atom_site_fract_z
Cd1 Cd 0.022 0.244 0.523
Cd2 Cd 0.221 0.721 0.779
As1 As 0.056 0.056 0.056
As2 As 0.102 0.602 0.898
Cl1 Cl 0.076 0.230 0.316
# Uncorrected formation energy (meV per atom): -711
# Crystal system: cubic

=====

Record 6
# meta-GGA SCAN NbTcAu3, PBEsol geometry
data_NbTcAu3
_chemical_formula_sum 'Nb1 Tc1 Au3'
_space_group_name_H-M_alt 'P m -3 m'
_space_group_IT_number 221
_space_group_name_Hall '-P 4 2 3'
_cell_length_a 4.974
_cell_length_b 4.974
_cell_length_c 4.974
_cell_angle_alpha 90.00
_cell_angle_beta 90.00
_cell_angle_gamma 90.00
loop_
_atom_site_label
_atom_site_type_symbol
_atom_site_fract_x
_atom_site_fract_y
_atom_site_fract_z
Nb1 Nb 0.000 0.000 0.000
Tc1 Tc 0.500 0.500 0.500
Au1 Au 0.000 0.000 0.500
# Formation energy from the elements (meV/atom): 1393
# Crystal system: cubic

=====

| no. | total moment (Bohr magnetons per cell) |
| --- | --- |
| 1 | 6.58 |
| 2 | 0.00 |
| 3 | 0.00 |
| 4 | 0.00 |
| 5 | 0.00 |
| 6 | 4.43 |